Material: BaPrAg2Cl8
Method: DFT, PBE
State: optimized geometry

Results
Space-group type = I-4, No. 82
E_form (uncorrected) = -1.5218 eV per atom
E = -45.44 eV per cell

Structure (CIF):
```
data_BaPrAg2Cl8
_chemical_formula_sum 'Ba1 Pr1 Ag2 Cl8'
_cell_length_a 6.9645
_cell_length_b 6.9645
_cell_length_c 8.6444
_cell_angle_alpha 113.76
_cell_angle_beta 113.76
_cell_angle_gamma 90.00
_symmetry_space_group_name_H-M 'P 1'
_symmetry_Int_Tables_number 1
_symmetry_space_group_name_Hall 'P 1'
loop_
_atom_site_label
_atom_site_type_symbol
_atom_site_fract_x
_atom_site_fract_y
_atom_site_fract_z
Cl1 Cl 0.6267 0.6882 0.6692
Cl2 Cl 0.3903 0.2814 0.1359
Cl3 Cl 0.7457 0.8545 0.1359
Cl4 Cl 0.1455 0.6097 0.8641
Cl5 Cl 0.0425 0.9810 0.6692
Cl6 Cl 0.7186 0.2543 0.8641
Cl7 Cl 0.3118 0.9575 0.3308
Cl8 Cl 0.0190 0.3733 0.3308
Ba1 Ba 0.7500 0.2500 0.5000
Ag1 Ag 0.2500 0.7500 0.5000
Ag2 Ag 0.5000 0.5000 0.0000
Pr1 Pr 0.0000 0.0000 0.0000
```